An optimized crystal structure of RbCoAuO3, computed with PBE with a Hubbard U. Values from VASP.

Computed properties:
Final energy: -4.74 eV per atom
Total moment: 4.0 μB/cell

Structure (Quantum ESPRESSO input):
```
&SYSTEM
  ibrav = 0, nat = 24, ntyp = 4
/
ATOMIC_SPECIES
O 16.00 O.upf
Rb 85.47 Rb.upf
Au 196.97 Au.upf
Co 58.93 Co.upf
CELL_PARAMETERS angstrom
-0.855 -2.355 1.766
9.317 -0.192 4.253
-3.631 7.537 8.295
ATOMIC_POSITIONS crystal
O 0.750 0.341 0.621
O 0.750 0.439 0.434
O 0.750 0.159 0.121
O 0.750 0.732 0.055
O 0.750 0.768 0.555
O 0.250 0.561 0.566
O 0.250 0.841 0.879
O 0.750 0.061 0.934
O 0.250 0.268 0.945
O 0.250 0.939 0.066
O 0.250 0.659 0.379
O 0.250 0.232 0.445
Rb 0.250 0.358 0.242
Rb 0.750 0.642 0.758
Rb 0.250 0.142 0.742
Rb 0.750 0.858 0.258
Au 0.250 0.596 0.022
Au 0.750 0.404 0.978
Au 0.250 0.904 0.522
Au 0.750 0.096 0.478
Co 0.750 0.615 0.471
Co 0.250 0.385 0.529
Co 0.250 0.115 0.029
Co 0.750 0.885 0.971
```